This record from the Alexandria database describes YMg2Ag at its PBEsol-relaxed geometry. The functional is SCAN.

Cell lengths 3.524, 3.524, 7.206 Å; angles 90.00, 90.00, 90.00 degrees
Site moments in Bohr magnetons follow the coordinates.
Sites, in units of the cell vectors:
Mg1 0.000 0.000 0.979  -0.01
Mg2 0.500 0.500 0.225  0.01
Y1 0.000 0.000 0.524  0.08
Ag1 0.500 0.500 0.772  0.00

* E: -69.98 eV/cell
* ΔH_f (0 K): -19.8 kJ per mole of atoms
* symmetry: P4mm (99)